[1]
Below is an optimized crystal structure of SiI, with properties calculated at the PBE level.

Summary:
DOS at the Fermi energy: 0.748 states/eV per atom
E above lowest polymorph: 111.9 kJ/mol of atoms
Space group: Pm-3n (223)

Unit cell a=8.533 b=8.533 c=8.533 alpha=90.00 beta=90.00 gamma=90.00
Site moments in Bohr magnetons follow the coordinates.
Fractional positions:
Si1 0.250 0.000 0.500  0.29
Si2 0.750 0.000 0.500  0.29
Si3 0.000 0.500 0.250  0.29
Si4 0.000 0.500 0.750  0.29
Si5 0.500 0.250 0.000  0.29
Si6 0.500 0.750 0.000  0.29
I1 0.250 0.500 0.000  0.02
I2 0.750 0.500 0.000  0.02
I3 0.500 0.000 0.250  0.02
I4 0.500 0.000 0.750  0.02
I5 0.000 0.250 0.500  0.02
I6 0.000 0.750 0.500  0.02

***

[2]
Below is an optimized crystal structure of SiI, with properties calculated at the PBE level.

Summary:
DOS at the Fermi energy: 0.805 states/eV per atom
E above lowest polymorph: 69.8 kJ/mol of atoms
Space group: Fddd (70)

Unit cell a=7.720 b=18.323 c=7.626 alpha=90.00 beta=90.00 gamma=90.00
Fractional positions:
Si1 0.000 0.870 0.000
Si2 0.000 0.130 0.000
Si3 0.250 0.880 0.250
Si4 0.250 0.620 0.250
Si5 0.000 0.370 0.500
Si6 0.000 0.630 0.500
Si7 0.250 0.380 0.750
Si8 0.250 0.120 0.750
Si9 0.500 0.870 0.500
Si10 0.500 0.130 0.500
Si11 0.750 0.880 0.750
Si12 0.750 0.620 0.750
Si13 0.500 0.370 0.000
Si14 0.500 0.630 0.000
Si15 0.750 0.380 0.250
Si16 0.750 0.120 0.250
I1 0.261 0.000 0.000
I2 0.739 0.000 0.000
I3 0.989 0.750 0.250
I4 0.511 0.750 0.250
I5 0.261 0.500 0.500
I6 0.739 0.500 0.500
I7 0.989 0.250 0.750
I8 0.511 0.250 0.750
I9 0.761 0.000 0.500
I10 0.239 0.000 0.500
I11 0.489 0.750 0.750
I12 0.011 0.750 0.750
I13 0.761 0.500 0.000
I14 0.239 0.500 0.000
I15 0.489 0.250 0.250
I16 0.011 0.250 0.250

***

[3]
Below is an optimized crystal structure of SiI, with properties calculated at the PBE level.

Summary:
E above lowest polymorph: 18.4 kJ/mol of atoms
Space group: P1 (1)

Unit cell a=4.843 b=8.550 c=8.770 alpha=96.44 beta=103.49 gamma=100.72
Fractional positions:
I1 0.318 0.222 0.836
I2 0.612 0.730 0.921
I3 0.360 0.935 0.430
I4 0.108 0.462 0.245
Si1 0.509 0.215 0.574
Si2 0.954 0.399 0.678
Si3 0.744 0.637 0.666
Si4 0.298 0.439 0.528

***

[4]
Below is an optimized crystal structure of SiI, with properties calculated at the PBE level.

Summary:
DOS at the Fermi energy: 0.000 states/eV per atom
E above lowest polymorph: 13.1 kJ/mol of atoms
Space group: P1 (1)

Unit cell a=5.365 b=8.175 c=8.217 alpha=105.68 beta=108.88 gamma=90.33
Fractional positions:
I1 0.694 0.859 0.109
I2 0.975 0.928 0.656
I3 0.630 0.356 0.981
I4 0.322 0.290 0.367
Si1 0.761 0.616 0.244
Si2 0.596 0.601 0.479
Si3 0.999 0.623 0.725
Si4 0.159 0.604 0.479

***

[5]
Below is an optimized crystal structure of SiI, with properties calculated at the PBE level.

Summary:
DOS at the Fermi energy: 0.506 states/eV per atom
E above lowest polymorph: 53.1 kJ/mol of atoms
Space group: I-43m (217)

Unit cell a=9.009 b=9.009 c=9.009 alpha=90.00 beta=90.00 gamma=90.00
Fractional positions:
Si1 0.093 0.093 0.093
Si2 0.093 0.907 0.907
Si3 0.907 0.093 0.907
Si4 0.907 0.907 0.093
Si5 0.593 0.593 0.593
Si6 0.593 0.407 0.407
Si7 0.407 0.593 0.407
Si8 0.407 0.407 0.593
I1 0.250 0.250 0.250
I2 0.250 0.750 0.750
I3 0.750 0.250 0.750
I4 0.750 0.750 0.250
I5 0.750 0.750 0.750
I6 0.750 0.250 0.250
I7 0.250 0.750 0.250
I8 0.250 0.250 0.750

***

[6]
Below is an optimized crystal structure of Sm7SiI12, with properties calculated at the PBE level.

Summary:
DOS at the Fermi energy: 0.609 states/eV per atom
Space group: R-3 (148)

Unit cell a=9.875 b=9.875 c=9.875 alpha=107.82 beta=107.82 gamma=107.82
Fractional positions:
Sm1 0.968 0.689 0.897
Sm2 0.311 0.103 0.032
Sm3 0.103 0.032 0.311
Sm4 0.500 0.500 0.500
Sm5 0.897 0.968 0.689
Sm6 0.689 0.897 0.968
Sm7 0.032 0.311 0.103
Si1 0.000 0.000 0.000
I1 0.922 0.313 0.770
I2 0.687 0.230 0.078
I3 0.469 0.155 0.389
I4 0.845 0.611 0.531
I5 0.230 0.078 0.687
I6 0.611 0.531 0.845
I7 0.389 0.469 0.155
I8 0.770 0.922 0.313
I9 0.155 0.389 0.469
I10 0.531 0.845 0.611
I11 0.313 0.770 0.922
I12 0.078 0.687 0.230

***

[7]
Below is an optimized crystal structure of Sm3Si2I2, with properties calculated at the PBE level.

Summary:
DOS at the Fermi energy: 0.697 states/eV per atom
Space group: P-1 (2)

Unit cell a=4.172 b=7.335 c=8.002 alpha=98.77 beta=89.93 gamma=106.36
Fractional positions:
Sm1 0.000 0.000 0.000
Sm2 0.757 0.512 0.221
Sm3 0.243 0.488 0.779
Si1 0.625 0.251 0.900
Si2 0.375 0.749 0.100
I1 0.877 0.756 0.614
I2 0.123 0.244 0.386

***

[8]
Below is an optimized crystal structure of SmSiI, with properties calculated at the PBE level.

Summary:
DOS at the Fermi energy: 0.672 states/eV per atom
Space group: C2/m (12)

Unit cell a=3.978 b=3.976 c=14.267 alpha=95.25 beta=81.99 gamma=59.99
Fractional positions:
Sm1 0.827 0.027 0.319
Sm2 0.173 0.973 0.681
Si1 0.635 0.194 0.536
Si2 0.365 0.806 0.464
I1 0.298 0.240 0.164
I2 0.702 0.760 0.836

***

[9]
Below is an optimized crystal structure of Sm3SiI3, with properties calculated at the PBE level.

Summary:
DOS at the Fermi energy: 0.461 states/eV per atom
E above lowest polymorph: 46.5 kJ/mol of atoms
Space group: C2/m (12)

Unit cell a=7.589 b=7.589 c=9.834 alpha=105.52 beta=105.52 gamma=104.29
Fractional positions:
Sm1 0.837 0.837 0.170
Sm2 0.851 0.489 0.798
Sm3 0.489 0.851 0.798
Sm4 0.149 0.511 0.202
Sm5 0.511 0.149 0.202
Sm6 0.163 0.163 0.830
Si1 0.883 0.883 0.887
Si2 0.117 0.117 0.113
I1 0.606 0.606 0.372
I2 0.170 0.830 0.500
I3 0.830 0.170 0.500
I4 0.333 0.667 0.000
I5 0.667 0.333 0.000
I6 0.394 0.394 0.628

***

[10]
Below is an optimized crystal structure of Sm2SiI, with properties calculated at the PBE level.

Summary:
DOS at the Fermi energy: 0.411 states/eV per atom
E above lowest polymorph: 0.0 kJ/mol of atoms
Space group: R-3m (166)

Unit cell a=4.283 b=4.283 c=7.998 alpha=74.47 beta=74.47 gamma=60.00
Fractional positions:
Sm1 0.268 0.268 0.196
Sm2 0.732 0.732 0.804
Si1 0.000 0.000 0.000
I1 0.500 0.500 0.500

***

| no. | uncorrected energy (eV per atom) | raw formation energy (meV/atom) |
| --- | --- | --- |
| 1 | -2.4403 | 1046.3 |
| 2 | -2.8769 | 609.6 |
| 3 | -3.4095 | 77.0 |
| 4 | -3.4647 | 21.9 |
| 5 | -3.0501 | 436.4 |
| 6 | -4.1473 | -1294.4 |
| 7 | -4.7633 | -748.4 |
| 8 | -4.8111 | -913.7 |
| 9 | -4.1322 | -670.7 |
| 10 | -5.0379 | -935.1 |